No. 1
Cs2Ir: relaxed, GGA-PBE.

The space group is Fd-3m (No. 227, origin choice 2) and the conventional cell measures 9.821, 9.821 and 9.821 Å, with angles of 90.00, 90.00 and 90.00 degrees. The inequivalent atoms are Cs at (0.000, 0.000, 0.000) and Ir at (0.125, 0.125, 0.625).

The value obtained for the final energy is -46.6 eV/cell.


No. 2
NaZrIrPb: relaxed, GGA-PBE.

The space group is F-43m (No. 216) and the conventional cell measures 6.732, 6.732 and 6.732 Å, with angles of 90.00, 90.00 and 90.00 degrees. The inequivalent atoms are Na at (0.000, 0.000, 0.000), Zr at (0.250, 0.250, 0.750), Ir at (0.000, 0.000, 0.500) and Pb at (0.250, 0.250, 0.250).

The value obtained for the final energy is -93.0 eV/cell.


> Among the records above, which one has the highest final energy?

Cs2Ir


> Which value of final energy does entry 2 give?

-93.0 eV/cell


Please write out number 1 again, unchanged.
Cs2Ir: relaxed, GGA-PBE.

The space group is Fd-3m (No. 227, origin choice 2) and the conventional cell measures 9.821, 9.821 and 9.821 Å, with angles of 90.00, 90.00 and 90.00 degrees. The inequivalent atoms are Cs at (0.000, 0.000, 0.000) and Ir at (0.125, 0.125, 0.625).

The value obtained for the final energy is -46.6 eV/cell.


> Look up the final energy of the second one.

-93.0 eV/cell